Here is a geometry-optimized Ni3Os structure from Alexandria via LeMat-Bulk. Energies are from PBE.

The structure in POSCAR format:
```
Ni3Os
1.0
-2.890 -0.630 2.069
2.035 -1.962 2.245
0.732 2.964 1.926
Os Ni
1 3
Cartesian
-0.428 -1.296 2.157 Os
-1.079 1.167 1.997 Ni
0.000 0.000 0.000 Ni
1.384 0.501 2.086 Ni
```

ΔE_f ... 20 kJ per mole of atoms
Total DFT energy (no corrections) ... -6.932 eV per atom
Space-group type ... No. 221
Density of states at the Fermi level ... 1.83 states/eV per atom